# Rb2InCoF6

A relaxed Rb2InCoF6 crystal (PBE with a Hubbard U, Alexandria).

Unit cell a=6.1651 b=6.1651 c=8.8661 alpha=90.00 beta=90.00 gamma=90.00
Closest atoms and distances in Å follow each position.
Space group I4/mmm (No. 139)
Inequivalent atoms, fractional coordinates:
Rb  0.0000  0.5000  0.2500 [4 per cell]  12 F 3.08-3.11
In  0.0000  0.0000  0.0000 [2 per cell]  6 F 2.28-2.31
Co  0.0000  0.0000  0.5000 [2 per cell]  6 F 2.05-2.15
F  0.0000  0.0000  0.2574 [4 per cell]  1 Co 2.15, 1 In 2.28
F  0.2349  0.2349  0.5000 [8 per cell]  1 Co 2.05

Total energy ... -89.6 eV for the cell shown